First-principles (PBE) data for crystalline PbCN3 at its relaxed geometry, as listed in Alexandria.

Computed properties:
**Crystal system**: cubic
**Uncorrected formation energy**: 2.45 eV per atom
**Theoretical density**: 9355 kg/m3
**E_tot**: -5.14 eV/atom

The structure in POSCAR format:
```
PbCN3
1.0
-2.6140 1.2517 2.1230
0.9456 -2.3485 2.5490
2.2759 2.4135 1.3793
Pb N C
1 3 1
direct
0.5000 0.5000 0.5000
0.5000 0.0000 0.0000
0.0000 0.0000 0.5000
0.0000 0.5000 0.0000
0.0000 0.0000 0.0000
```


First-principles (PBE) data for crystalline ErMg2Zr4 at its relaxed geometry, as listed in Alexandria.

Computed properties:
**Crystal system**: monoclinic
**Theoretical density**: 5743 kg/m3
**DFT formation energy**: 0.10 eV per atom
**E_tot**: -5.89 eV/atom

The structure in POSCAR format:
```
ErMg2Zr4
1.0
3.0488 0.7124 -0.4023
0.7114 3.0483 -0.0939
0.9543 -0.3562 18.9860
Mg Zr Er
2 4 1
direct
0.7856 0.5000 0.5712
0.2144 0.5000 0.4288
0.3565 0.0000 0.7129
0.9238 0.5000 0.8476
0.0762 0.5000 0.1524
0.6435 0.0000 0.2871
0.5000 0.0000 0.0000
```


Q: What is the formula in the second record?
A: ErMg2Zr4


Q: Look up the theoretical density of the second one.
A: 5743 kg/m3


Please write out number 2 again, unchanged.
First-principles (PBE) data for crystalline ErMg2Zr4 at its relaxed geometry, as listed in Alexandria.

Computed properties:
**Crystal system**: monoclinic
**Theoretical density**: 5743 kg/m3
**DFT formation energy**: 0.10 eV per atom
**E_tot**: -5.89 eV/atom

The structure in POSCAR format:
```
ErMg2Zr4
1.0
3.0488 0.7124 -0.4023
0.7114 3.0483 -0.0939
0.9543 -0.3562 18.9860
Mg Zr Er
2 4 1
direct
0.7856 0.5000 0.5712
0.2144 0.5000 0.4288
0.3565 0.0000 0.7129
0.9238 0.5000 0.8476
0.0762 0.5000 0.1524
0.6435 0.0000 0.2871
0.5000 0.0000 0.0000
```